No. 1
Entry from Alexandria: a relaxed ZnHgCl crystal (PBE-GGA).

a = 3.4733 Å, b = 3.4733 Å, c = 28.1265 Å
α = 90.00°, β = 90.00°, γ = 120.00°
Space group P-3m1 (No. 164)
Unique sites:
Zn 0.3333 0.6667 0.1183 [2 per cell]
Zn 0.3333 0.6667 0.6186 [2 per cell]
Hg 0.3333 0.6667 0.8060 [2 per cell]
Hg 0.3333 0.6667 0.9560 [2 per cell]
Cl 0.3333 0.6667 0.3267 [2 per cell]
Cl 0.3333 0.6667 0.4358 [2 per cell]

Calculated values
Formation energy from raw total energies ... -0.359 eV per atom
VASP energy ... -1.5000 eV/atom
Magnetization ... 0.000 Bohr magnetons per cell

---

No. 2
Entry from Alexandria: a relaxed Zn2HgCl crystal (PBE-GGA).

a = 5.005 Å, b = 5.005 Å, c = 3.343 Å
α = 90.00°, β = 90.00°, γ = 90.00°
Space group P4/mmm (No. 123)
Unique sites:
Zn 0.000 0.500 0.000 [2 per cell]
Hg 0.000 0.000 0.500 [1 per cell]
Cl 0.500 0.500 0.500 [1 per cell]

Calculated values
Formation energy from raw total energies ... 0.019 eV per atom
VASP energy ... -1.1556 eV/atom
Magnetization ... 0.000 Bohr magnetons per cell

---

The records above give, respectively, N(E_F) values of 2.20, 1.67 states/eV/cell.